# Mo5Au

A relaxed Mo5Au crystal (PBE, Alexandria).

abc: 5.2766 5.2766 4.4191
angles: 90.00 90.00 120.00
Space group P6/mmm (No. 191)
Inequivalent atoms, fractional coordinates:
Mo: 0.0000 0.5000 0.0000
Mo: 0.3333 0.6667 0.5000
Au: 0.0000 0.0000 0.5000

Summary:
DOS at the Fermi energy in states/eV/f.u.: 2.8
E_tot in eV/atom: -8.989
ΔE_f in meV per atom: 583.2